DFT (GGA-PBE) results for Cs3RuRh after structural relaxation.

Results
The calculation puts the calculated formation energy at 1.325 eV/atom. Its symmetry is Pm-3m, No. 221. As for the crystal system: cubic. As for the excess energy over the best structure of this formula in the dataset: 0.000 eV per atom.

Cell and atoms, written as extended XYZ:
```
5
Lattice="6.0048 0.0000 0.0000 0.0000 6.0048 0.0000 0.0000 0.0000 6.0048" Properties=species:S:1:pos:R:3 pbc="T T T"
Cs 0.0000 0.0000 3.0024
Cs 0.0000 3.0024 0.0000
Cs 3.0024 0.0000 0.0000
Ru 3.0024 3.0024 3.0024
Rh 0.0000 0.0000 0.0000
```

DFT (GGA-PBE) results for CsZnRuRh2 after structural relaxation.

Results
The calculation puts the calculated formation energy at 1.227 eV/atom. Its symmetry is P4/mmm, No. 123. As for the crystal system: tetragonal.

Cell and atoms, written as extended XYZ:
```
5
Lattice="4.8249 0.0000 0.0000 0.0000 4.8249 0.0000 0.0000 0.0000 4.8243" Properties=species:S:1:pos:R:3 pbc="T T T"
Cs 0.0000 0.0000 0.0000
Zn 2.4124 2.4124 2.4122
Ru 2.4124 2.4124 0.0000
Rh 0.0000 2.4124 2.4122
Rh 2.4124 0.0000 2.4122
```

DFT (GGA-PBE) results for CsRh2S2 after structural relaxation.

Results
Its symmetry is I4/mmm, No. 139. As for the crystal system: tetragonal. For the uncorrected formation energy, the calculation gives -0.330 eV per atom. As for the excess energy over the best structure of this formula in the dataset: 0.184 eV per atom.

Cell and atoms, written as extended XYZ:
```
5
Lattice="-2.2388 2.2388 6.1505 2.2388 -2.2388 6.1505 2.2388 2.2388 -6.1505" Properties=species:S:1:pos:R:3 pbc="T T T"
Cs 0.0000 0.0000 0.0000
Rh 0.0000 0.0000 3.8061
Rh 0.0000 0.0000 8.4949
S 2.2388 0.0000 3.0753
S 0.0000 2.2388 3.0753
```

DFT (GGA-PBE) results for CsRh3S after structural relaxation.

Results
Its symmetry is Pm-3m, No. 221. As for the crystal system: cubic. For the uncorrected formation energy, the calculation gives 2.269 eV per atom. As for the excess energy over the best structure of this formula in the dataset: 1.897 eV per atom.

Cell and atoms, written as extended XYZ:
```
5
Lattice="4.9887 0.0000 0.0000 0.0000 4.9887 0.0000 0.0000 0.0000 4.9887" Properties=species:S:1:pos:R:3 pbc="T T T"
Cs 0.0000 0.0000 0.0000
Rh 0.0000 0.0000 2.4944
Rh 0.0000 2.4944 0.0000
Rh 2.4944 0.0000 0.0000
S 2.4944 2.4944 2.4944
```

no.,V (Å³ per atom),size of the total moment (μB/cell)
1,43.30,2.442
2,22.46,3.327
3,24.66,0.000
4,24.83,1.735